Entry 1:
First-principles (PBE) data for a relaxed GaSbOF2 crystal, as listed in Alexandria.

```
GaSbOF2
1.0
-0.2526 -3.0701 -3.1439
4.2893 -0.8564 0.4917
-0.7926 -2.5202 2.5247
O Sb F Ga
1 1 2 1
Cartesian
-0.3963 -1.2601 1.2623
1.6221 -3.2233 -0.0638
2.1447 -0.4282 0.2458
-0.1263 -1.5350 -1.5720
0.0000 0.0000 0.0000
```

Results
E_form (uncorrected) (meV/atom): -1267
Electronic total energy (eV per formula unit): -22.186
Space group: No. 123
Magnetic moment (μB per formula unit): 0.00
Offset from the most stable computed form (meV/atom): 155



Entry 2:
First-principles (PBE) data for a relaxed CsNaSnSe2 crystal, as listed in Alexandria.

```
CsNaSnSe2
1.0
5.0309 0.0000 0.0000
-2.5154 7.5745 0.3693
0.0000 -1.3587 10.0306
Se Sn Na Cs
4 2 2 2
Cartesian
2.5154 1.5909 3.2798
2.5154 5.6412 0.6028
0.0000 0.5747 9.7971
0.0000 4.6250 7.1201
0.0000 0.5671 2.1433
2.5154 5.6488 8.2566
0.0000 3.4776 9.6589
2.5154 2.7382 0.7410
0.0000 4.7828 3.5537
2.5154 1.4331 6.8462
```

Results
E_form (uncorrected) (meV/atom): -825
Electronic total energy (eV per formula unit): -17.268
Space group: No. 12
Magnetic moment (μB per formula unit): 0.00



Entry 3:
First-principles (PBE) data for a relaxed Ba2Hg2Ge crystal, as listed in Alexandria.

```
Ba2Hg2Ge
1.0
-4.2325 -0.3719 -0.5102
0.6310 -2.3692 -3.5073
-1.7500 -9.4090 3.4303
Ba Ge Hg
2 1 2
Cartesian
-3.5604 -9.2598 0.3932
-1.7912 -2.8904 -0.9804
0.0000 0.0000 0.0000
-3.8916 -5.5758 0.4557
-1.4599 -6.5744 -1.0429
```

Results
Electronic total energy (eV per formula unit): -10.760
Space group: No. 139
Magnetic moment (μB per formula unit): 0.00
Energy of formation from the pure elements (meV/atom): -339
Offset from the most stable computed form (meV/atom): 155



Entry 4:
First-principles (PBE) data for a relaxed LiFeBr2 crystal, as listed in Alexandria.

```
LiFeBr2
1.0
-5.4817 3.7371 -1.6547
0.5788 -5.4462 1.3229
-1.0902 -1.1761 3.7824
Li Br Fe
1 2 1
Cartesian
-2.4514 -0.8546 -0.1659
-3.2859 1.2805 1.0638
0.0000 0.0000 0.0000
-0.2557 -3.3111 2.5526
```

Results
E_form (uncorrected) (meV/atom): -373
Electronic total energy (eV per formula unit): -15.213
Space group: No. 12
Magnetic moment (μB per formula unit): 3.13
Offset from the most stable computed form (meV/atom): 154



Entry 5:
First-principles (PBE) data for a relaxed TiPbW3 crystal, as listed in Alexandria.

```
TiPbW3
1.0
4.6867 0.0000 0.0000
0.0000 4.6867 0.0000
0.0000 0.0000 4.6867
W Ti Pb
3 1 1
Cartesian
0.0000 2.3433 0.0000
2.3433 0.0000 0.0000
0.0000 0.0000 2.3433
0.0000 0.0000 0.0000
2.3433 2.3433 2.3433
```

Results
Electronic total energy (eV per formula unit): -41.000
Space group: No. 221
Magnetic moment (μB per formula unit): 0.00
Energy of formation from the pure elements (meV/atom): 1893
Offset from the most stable computed form (meV/atom): 0



Entry 6:
First-principles (PBE) data for a relaxed NaYBe2 crystal, as listed in Alexandria.

```
NaYBe2
1.0
7.5688 0.0000 0.0000
0.0000 7.5688 0.0000
3.7844 3.7844 2.8033
Be Y Na
4 2 2
Cartesian
5.6766 5.7626 2.1025
5.5906 1.8922 0.7008
9.4610 9.3750 2.1025
1.9782 5.6766 0.7008
7.5688 3.7844 1.4016
0.0000 0.0000 0.0000
3.7844 7.5688 1.4016
3.7844 3.7844 0.0000
```

Results
Electronic total energy (eV per formula unit): -11.789
Space group: No. 122
Magnetic moment (μB per formula unit): 0.00
Energy of formation from the pure elements (meV/atom): 862
Offset from the most stable computed form (meV/atom): 356



Entry 7:
First-principles (PBE) data for a relaxed Sr2Tl3Pb2 crystal, as listed in Alexandria.

```
Sr2Tl3Pb2
1.0
-8.3769 -1.0550 -1.6910
4.4436 -6.6095 -3.2733
1.1900 0.3188 8.5222
Sr Tl Pb
4 6 4
Cartesian
-6.1434 -4.3583 -3.3253
0.5933 0.1589 4.2492
-1.3779 -3.6636 1.7835
-4.1923 -0.5378 -0.8405
-2.9670 -5.7501 -3.7071
-6.9593 -2.6096 -0.3670
-4.5599 -2.2825 2.1584
-3.7767 -4.0015 -0.7867
-2.1944 -1.9589 4.7161
-1.7834 -0.1989 1.7202
0.3145 -6.1810 0.5368
2.4861 -4.0308 3.0533
-0.9570 -3.7051 -2.2783
1.0465 0.2803 7.4950
```

Results
Electronic total energy (eV per formula unit): -19.041
Space group: No. 199
Magnetic moment (μB per formula unit): 0.00
Energy of formation from the pure elements (meV/atom): -166
Offset from the most stable computed form (meV/atom): 66



Entry 8:
First-principles (PBE) data for a relaxed Mg3CdCu crystal, as listed in Alexandria.

```
Mg3CdCu
1.0
4.5675 0.0000 0.0000
-2.2837 4.9258 -0.9192
0.0000 0.4080 8.5630
Mg Cd Cu
6 2 2
Cartesian
2.2837 4.2754 4.5590
0.0000 2.5450 5.7166
0.0000 4.5804 0.6089
2.2837 0.7534 7.0350
0.0000 1.0584 3.0849
2.2837 2.7889 1.9272
2.2837 3.8030 7.4704
0.0000 1.5308 0.1735
0.0000 3.8990 3.2079
2.2837 1.4349 4.4360
```

Results
Electronic total energy (eV per formula unit): -10.102
Space group: No. 12
Magnetic moment (μB per formula unit): 0.00
Energy of formation from the pure elements (meV/atom): -61
Offset from the most stable computed form (meV/atom): 7